# NaCa3Rh (GGA-PBE, relaxed)
data_NaCa3Rh
_space_group_name_H-M_alt 'I -4 m 2'
_space_group_IT_number 119
_space_group_name_Hall 'I -4 -2'
_cell_length_a 6.373
_cell_length_b 6.373
_cell_length_c 18.675
_cell_angle_alpha 90.00
_cell_angle_beta 90.00
_cell_angle_gamma 90.00
loop_
_atom_site_label
_atom_site_fract_x
_atom_site_fract_y
_atom_site_fract_z
Na1 0.000 0.000 0.197
Ca1 0.000 0.247 0.368
Ca2 0.000 0.500 0.539
Rh1 0.000 0.000 0.500
Rh2 0.000 0.500 0.250
# energy above the lowest structure with this stoichiometry: 0.310 eV/atom
# DFT total energy: -2.8290 eV per atom
# density: 2.16 g/cm³
# total moment: 0.0 μB per formula unit